(1)
Li4U3PdSe8: relaxed, PBE-GGA.

a = 7.8971 Å, b = 7.8971 Å, c = 19.7181 Å
α = 90.00°, β = 90.00°, γ = 120.00°
With the nearest neighbours (Å) after each atom.
Space group R-3m (No. 166, hexagonal axes)
Symmetry-distinct sites (fractional):
Li: 0.0000 0.0000 0.0000 (multiplicity 3)  6 Se 2.81
Li: 0.0000 0.5000 0.0000 (multiplicity 9)  6 Se 2.75-2.79
U: 0.0000 0.5000 0.5000 (multiplicity 9)  6 Se 2.83-2.87
Pd: 0.0000 0.0000 0.5000 (multiplicity 3)  6 Se 2.81
Se: 0.0000 0.0000 0.2549 (multiplicity 6)  3 Li 2.75, 3 U 2.87
Se: 0.0029 0.5015 0.2510 (multiplicity 18)  3 Li 2.79-2.81, 1 Pd 2.81, 2 U 2.83

Its density of states at the Fermi level is 40.78 states/eV per cell. For the volume, the calculation gives 1065 Å³ per cell.


(2)
Li2UPdSe4: relaxed, PBE-GGA.

a = 5.5723 Å, b = 5.5723 Å, c = 10.6459 Å
α = 90.00°, β = 90.00°, γ = 90.00°
With the nearest neighbours (Å) after each atom.
Space group I4/mmm (No. 139)
Symmetry-distinct sites (fractional):
Li: 0.0000 0.5000 0.2500 (multiplicity 4)  6 Se 2.66-2.79
U: 0.0000 0.0000 0.0000 (multiplicity 2)  6 Se 2.69-2.79
Pd: 0.0000 0.0000 0.5000 (multiplicity 2)  6 Se 2.64-2.79
Se: 0.0000 0.0000 0.2523 (multiplicity 4)  1 Pd 2.64, 1 U 2.69, 4 Li 2.79
Se: 0.0000 0.5000 0.0000 (multiplicity 4)  2 Li 2.66, 2 U 2.79, 2 Pd 2.79

Its density of states at the Fermi level is 11.65 states/eV per cell. For the volume, the calculation gives 331 Å³ per cell.


(3)
Li4Zr3PdSe8: relaxed, PBE-GGA.

a = 13.2682 Å, b = 7.6240 Å, c = 7.8444 Å
α = 90.00°, β = 124.25°, γ = 90.00°
With the nearest neighbours (Å) after each atom.
Space group C2/m (No. 12)
Symmetry-distinct sites (fractional):
Li: 0.0000 0.0000 0.0000 (multiplicity 2)  6 Se 2.73-2.77
Li: 0.0000 0.5000 0.0000 (multiplicity 2)  6 Se 2.74-2.75
Li: 0.2500 0.2500 0.0000 (multiplicity 4)  6 Se 2.73-2.76
Zr: 0.0000 0.0000 0.5000 (multiplicity 2)  6 Se 2.72-2.74
Zr: 0.2500 0.2500 0.5000 (multiplicity 4)  6 Se 2.72-2.74
Pd: 0.0000 0.5000 0.5000 (multiplicity 2)  6 Se 2.70-2.75
Se: 0.0016 0.2516 0.2555 (multiplicity 8)  1 Pd 2.70, 2 Zr 2.72-2.73, 3 Li 2.75-2.77
Se: 0.2490 0.0000 0.2519 (multiplicity 4)  2 Zr 2.72, 3 Li 2.73-2.75, 1 Pd 2.75
Se: 0.2499 0.0000 0.7509 (multiplicity 4)  3 Li 2.73-2.74, 3 Zr 2.74

Its density of states at the Fermi level is 17.01 states/eV per cell. For the volume, the calculation gives 656 Å³ per cell.


(4)
Li3Zr3PdSe8: relaxed, PBE-GGA.

a = 7.5807 Å, b = 7.5807 Å, c = 19.5691 Å
α = 90.00°, β = 90.00°, γ = 120.00°
With the nearest neighbours (Å) after each atom.
Space group R-3m (No. 166, hexagonal axes)
Symmetry-distinct sites (fractional):
Li: 0.0000 0.5000 0.0000 (multiplicity 9)  6 Se 2.72-2.75
Zr: 0.0000 0.5000 0.5000 (multiplicity 9)  6 Se 2.71-2.73
Pd: 0.0000 0.0000 0.5000 (multiplicity 3)  6 Se 2.68
Se: 0.0000 0.0000 0.2504 (multiplicity 6)  3 Li 2.72, 3 Zr 2.73
Se: 0.0040 0.5020 0.2475 (multiplicity 18)  1 Pd 2.68, 2 Zr 2.71, 2 Li 2.75

Its density of states at the Fermi level is 23.89 states/eV per cell. For the volume, the calculation gives 974 Å³ per cell.


(5)
Li2Si3Pd2: relaxed, PBE-GGA.

a = 9.0879 Å, b = 4.0082 Å, c = 6.4024 Å
α = 90.00°, β = 113.43°, γ = 90.00°
With the nearest neighbours (Å) after each atom.
Space group C2/m (No. 12)
Symmetry-distinct sites (fractional):
Li: 0.1642 0.0000 0.2907 (multiplicity 4)  3 Pd 2.59-2.80, 3 Si 2.80-2.85
Si: 0.0000 0.5000 0.5000 (multiplicity 2)  4 Pd 2.45, 2 Si 2.67
Si: 0.1191 0.5000 0.9551 (multiplicity 4)  3 Pd 2.43-2.52, 2 Si 2.45-2.67
Pd: 0.1238 0.0000 0.7196 (multiplicity 4)  5 Si 2.43-2.52, 1 Li 2.59

Its density of states at the Fermi level is 3.34 states/eV per cell. For the volume, the calculation gives 214 Å³ per cell.


(6)
LiSiPd: relaxed, PBE-GGA.

a = 4.0305 Å, b = 4.0305 Å, c = 7.0208 Å
α = 90.00°, β = 90.00°, γ = 120.00°
With the nearest neighbours (Å) after each atom.
Space group P-6m2 (No. 187)
Symmetry-distinct sites (fractional):
Li: 0.0000 0.0000 0.1899 (multiplicity 2)  3 Si 2.55, 1 Li 2.67, 3 Pd 2.68
Si: 0.3333 0.6667 0.3386 (multiplicity 2)  1 Si 2.27, 1 Pd 2.38
Pd: 0.3333 0.6667 0.0000 (multiplicity 1)  2 Si 2.38
Pd: 0.6667 0.3333 0.5000 (multiplicity 1)  6 Si 2.59

Its density of states at the Fermi level is 1.23 states/eV per cell. For the volume, the calculation gives 99 Å³ per cell.


(7)
LiSiPd: relaxed, PBE-GGA.

a = 12.2796 Å, b = 3.0740 Å, c = 6.8153 Å
α = 90.00°, β = 90.00°, γ = 90.00°
With the nearest neighbours (Å) after each atom.
Space group Pmma (No. 51)
Symmetry-distinct sites (fractional):
Li: 0.0541 0.0000 0.2338 (multiplicity 4)  5 Si 2.69-2.73, 6 Pd 2.78-2.94
Li: 0.2500 0.0000 0.6722 (multiplicity 2)  5 Si 2.62, 6 Pd 2.77
Si: 0.0890 0.5000 0.5594 (multiplicity 4)  1 Si 2.33, 2 Pd 2.45-2.50
Si: 0.2500 0.0000 0.0573 (multiplicity 2)  6 Pd 2.43-2.44, 3 Li 2.62-2.69
Pd: 0.1191 0.5000 0.9150 (multiplicity 4)  3 Si 2.43-2.45
Pd: 0.2500 0.5000 0.3347 (multiplicity 2)  4 Si 2.44-2.50

Its density of states at the Fermi level is 5.82 states/eV per cell. For the volume, the calculation gives 257 Å³ per cell.


(8)
Li5SiPd4: relaxed, PBE-GGA.

a = 12.5373 Å, b = 4.2268 Å, c = 5.2827 Å
α = 90.00°, β = 105.92°, γ = 90.00°
With the nearest neighbours (Å) after each atom.
Space group C2/m (No. 12)
Symmetry-distinct sites (fractional):
Li: 0.0000 0.0000 0.0000 (multiplicity 2)  6 Li 2.61-2.62, 2 Si 2.64
Li: 0.1051 0.5000 0.9055 (multiplicity 4)  6 Pd 2.54-2.66, 2 Li 2.61
Li: 0.2044 0.0000 0.3000 (multiplicity 4)  7 Pd 2.58-2.68, 2 Li 2.62-2.88
Si: 0.0000 0.0000 0.5000 (multiplicity 2)  6 Pd 2.48-2.54, 2 Li 2.64
Pd: 0.0936 0.5000 0.4010 (multiplicity 4)  2 Si 2.54, 6 Li 2.57-2.66, 1 Pd 2.82
Pd: 0.1934 0.0000 0.7859 (multiplicity 4)  1 Si 2.48, 7 Li 2.54-2.68

Its density of states at the Fermi level is 6.50 states/eV per cell. For the volume, the calculation gives 269 Å³ per cell.


(9)
LiSiPd2: relaxed, PBE-GGA.

a = 4.0358 Å, b = 4.0358 Å, c = 13.4153 Å
α = 90.00°, β = 90.00°, γ = 120.00°
With the nearest neighbours (Å) after each atom.
Space group R3m (No. 160, hexagonal axes)
Symmetry-distinct sites (fractional):
Li: 0.0000 0.0000 0.0000 (multiplicity 3)  1 Si 2.59, 7 Pd 2.66-2.85
Si: 0.0000 0.0000 0.8073 (multiplicity 3)  6 Pd 2.41-2.52, 1 Li 2.59
Pd: 0.0000 0.0000 0.2127 (multiplicity 3)  3 Si 2.52, 3 Pd 2.81
Pd: 0.0000 0.0000 0.4290 (multiplicity 3)  3 Si 2.41, 3 Li 2.66

Its density of states at the Fermi level is 6.91 states/eV per cell. For the volume, the calculation gives 189 Å³ per cell.


(10)
LiSiPd2: relaxed, PBE-GGA.

a = 6.7694 Å, b = 6.7694 Å, c = 5.5062 Å
α = 90.00°, β = 90.00°, γ = 90.00°
With the nearest neighbours (Å) after each atom.
Space group I-42d (No. 122)
Symmetry-distinct sites (fractional):
Li: 0.0000 0.0000 0.0000 (multiplicity 4)  4 Pd 2.69, 2 Si 2.75
Si: 0.0000 0.0000 0.5000 (multiplicity 4)  4 Pd 2.31
Pd: 0.2087 0.2500 0.6250 (multiplicity 8)  2 Si 2.31

Its density of states at the Fermi level is 4.18 states/eV per cell. For the volume, the calculation gives 252 Å³ per cell.


(11)
Li8SiPd6: relaxed, PBE-GGA.

a = 7.3964 Å, b = 7.3964 Å, c = 15.5803 Å
α = 90.00°, β = 90.00°, γ = 120.00°
With the nearest neighbours (Å) after each atom.
Space group R-3 (No. 148, hexagonal axes)
Symmetry-distinct sites (fractional):
Li: 0.0000 0.0000 0.1694 (multiplicity 6)  6 Pd 2.59-2.60
Li: 0.0013 0.3322 0.6205 (multiplicity 18)  5 Pd 2.56-2.82, 3 Li 2.85
Si: 0.0000 0.0000 0.5000 (multiplicity 3)  6 Pd 2.49
Pd: 0.0017 0.6772 0.5438 (multiplicity 18)  1 Si 2.49, 6 Li 2.56-2.72, 2 Pd 2.76

Its density of states at the Fermi level is 15.91 states/eV per cell. For the volume, the calculation gives 738 Å³ per cell.


(12)
Li3SiPd6: relaxed, PBE-GGA.

a = 7.2784 Å, b = 4.3941 Å, c = 9.2267 Å
α = 90.00°, β = 108.46°, γ = 90.00°
With the nearest neighbours (Å) after each atom.
Space group P2_1/m (No. 11)
Symmetry-distinct sites (fractional):
Li: 0.0285 0.2500 0.3802 (multiplicity 2)  9 Pd 2.54-2.79
Li: 0.1226 0.7500 0.2045 (multiplicity 2)  8 Pd 2.47-2.75
Li: 0.2764 0.2500 0.9796 (multiplicity 2)  10 Pd 2.63-2.79, 1 Li 2.86
Si: 0.4470 0.2500 0.5994 (multiplicity 2)  8 Pd 2.37-2.62
Pd: 0.0344 0.7500 0.9125 (multiplicity 2)  7 Li 2.55-2.76, 1 Pd 2.69
Pd: 0.1568 0.2500 0.6701 (multiplicity 2)  1 Si 2.40, 4 Li 2.54-2.64
Pd: 0.2635 0.7500 0.4966 (multiplicity 2)  3 Si 2.53-2.59, 4 Li 2.56-2.78, 1 Pd 2.79
Pd: 0.3505 0.2500 0.3157 (multiplicity 2)  3 Si 2.49-2.62, 3 Li 2.59-2.75
Pd: 0.3499 0.7500 0.8203 (multiplicity 2)  8 Pd 2.69-2.85, 4 Li 2.76-2.79
Pd: 0.4203 0.7500 0.1307 (multiplicity 2)  1 Si 2.37, 3 Li 2.47-2.63

Its density of states at the Fermi level is 5.03 states/eV per cell. For the volume, the calculation gives 280 Å³ per cell. The calculation puts the polymorph energy (0 for the lowest one) at 0 meV per atom.


The following formation energy from raw total energies values (in eV/atom) correspond, in order, to the records above: -1.08; -0.97; -1.16; -1.13; -0.44; -0.27; -0.50; -0.51; -0.46; -0.37; -0.32; -0.47.
The following raw total energy values (in eV/atom) correspond, in order, to the records above: -5.743; -5.246; -5.303; -5.431; -4.798; -4.447; -4.675; -4.085; -4.894; -4.799; -3.783; -4.698.